First-principles (PBE-GGA) data for a relaxed structure of BaLaZrO4, as listed in Alexandria.

Values from the calculation:
* E_tot: -7.993 eV per atom
* N(E_F): 0.309 states/eV per atom
* formation energy without anion corrections: -2.96 eV/atom

a = 7.1837 Å, b = 7.1837 Å, c = 7.1837 Å
α = 145.92°, β = 145.92°, γ = 48.96°
Sites, in units of the cell vectors:
1 Ba 0.0000 0.0000 0.0000
2 La 0.7035 0.7035 0.0000
3 Zr 0.3502 0.3502 0.0000
4 O 0.1895 0.1895 0.0000
5 O 0.3421 0.8421 0.5000
6 O 0.5232 0.5232 0.0000
7 O 0.8421 0.3421 0.5000

First-principles (PBE-GGA) data for a relaxed structure of Mg2ZnNi, as listed in Alexandria.

Values from the calculation:
* formation enthalpy at 0 K: -0.11 eV per atom
* E_tot: -2.674 eV per atom
* N(E_F): 0.511 states/eV per atom

a = 5.1315 Å, b = 5.1315 Å, c = 5.1308 Å
α = 90.00°, β = 90.00°, γ = 77.61°
Sites, in units of the cell vectors:
1 Mg 0.0177 0.3560 0.2500
2 Mg 0.3560 0.0177 0.7500
3 Mg 0.6440 0.9823 0.2500
4 Mg 0.9823 0.6440 0.7500
5 Zn 0.1810 0.8190 0.2500
6 Zn 0.8190 0.1810 0.7500
7 Ni 0.5000 0.5000 0.0000
8 Ni 0.5000 0.5000 0.5000

First-principles (PBE-GGA) data for a relaxed structure of MgTePb2, as listed in Alexandria.

Values from the calculation:
* E above lowest polymorph: 0.97 eV/f.u.
* E_tot: -2.993 eV per atom
* N(E_F): 0.686 states/eV per atom
* formation energy without anion corrections: 0.05 eV/atom

a = 5.5196 Å, b = 5.5196 Å, c = 5.5196 Å
α = 60.00°, β = 60.00°, γ = 60.00°
Sites, in units of the cell vectors:
1 Mg 0.0000 0.0000 0.0000
2 Te 0.5000 0.5000 0.5000
3 Pb 0.2500 0.2500 0.2500
4 Pb 0.7500 0.7500 0.7500

First-principles (PBE-GGA) data for a relaxed structure of Mg2ScIn, as listed in Alexandria.

Values from the calculation:
* formation enthalpy at 0 K: -0.17 eV per atom
* E_tot: -3.232 eV per atom
* N(E_F): 0.651 states/eV per atom

a = 3.1996 Å, b = 4.7264 Å, c = 6.2987 Å
α = 90.00°, β = 104.63°, γ = 90.00°
Sites, in units of the cell vectors:
1 Mg 0.0000 0.0000 0.0000
2 Mg 0.3900 0.5000 0.7850
3 Sc 0.6518 0.5000 0.2980
4 In 0.2533 0.0000 0.4986

First-principles (PBE-GGA) data for a relaxed structure of NdAg4Sn4, as listed in Alexandria.

Values from the calculation:
* formation enthalpy at 0 K: -0.11 eV per atom
* E_tot: -3.685 eV per atom
* N(E_F): 0.443 states/eV per atom

a = 6.5960 Å, b = 6.5960 Å, c = 9.9148 Å
α = 90.00°, β = 90.00°, γ = 90.00°
Sites, in units of the cell vectors:
1 Nd 0.2500 0.7500 0.2500
2 Nd 0.7500 0.2500 0.7500
3 Ag 0.0357 0.2500 0.1891
4 Ag 0.2500 0.0357 0.6891
5 Ag 0.2500 0.4643 0.6891
6 Ag 0.4643 0.2500 0.1891
7 Ag 0.5357 0.7500 0.8109
8 Ag 0.7500 0.5357 0.3109
9 Ag 0.7500 0.9643 0.3109
10 Ag 0.9643 0.7500 0.8109
11 Sn 0.0154 0.2500 0.4712
12 Sn 0.2500 0.0154 0.9712
13 Sn 0.2500 0.4846 0.9712
14 Sn 0.4846 0.2500 0.4712
15 Sn 0.5154 0.7500 0.5288
16 Sn 0.7500 0.5154 0.0288
17 Sn 0.7500 0.9846 0.0288
18 Sn 0.9846 0.7500 0.5288

First-principles (PBE-GGA) data for a relaxed structure of La2Hg2Ru, as listed in Alexandria.

Values from the calculation:
* E above lowest polymorph: 2.70 eV/f.u.
* formation enthalpy at 0 K: 0.19 eV per atom
* E_tot: -3.757 eV per atom
* N(E_F): 0.465 states/eV per atom

a = 5.8636 Å, b = 5.8636 Å, c = 5.8636 Å
α = 117.68°, β = 117.68°, γ = 94.06°
Sites, in units of the cell vectors:
1 La 0.2500 0.7500 0.5000
2 La 0.7500 0.2500 0.5000
3 Hg 0.1656 0.1656 0.0000
4 Hg 0.8344 0.8344 0.0000
5 Ru 0.5000 0.5000 0.0000

First-principles (PBE-GGA) data for a relaxed structure of Cd2Pd8Pb, as listed in Alexandria.

Values from the calculation:
* E above lowest polymorph: 0.00 eV/f.u.
* formation enthalpy at 0 K: -0.27 eV per atom
* E_tot: -4.548 eV per atom
* N(E_F): 0.452 states/eV per atom

a = 7.5569 Å, b = 7.5569 Å, c = 6.3279 Å
α = 104.10°, β = 104.10°, γ = 31.91°
Sites, in units of the cell vectors:
1 Cd 0.2235 0.2235 0.1467
2 Cd 0.7765 0.7765 0.8533
3 Pd 0.0417 0.0417 0.2228
4 Pd 0.1408 0.1408 0.6864
5 Pd 0.3197 0.3197 0.5888
6 Pd 0.4085 0.4085 0.0413
7 Pd 0.5915 0.5915 0.9587
8 Pd 0.6803 0.6803 0.4112
9 Pd 0.8592 0.8592 0.3136
10 Pd 0.9583 0.9583 0.7772
11 Pb 0.5000 0.5000 0.5000

First-principles (PBE-GGA) data for a relaxed structure of Tm2SbO3, as listed in Alexandria.

Values from the calculation:
* E_tot: -7.443 eV per atom
* N(E_F): 0.299 states/eV per atom
* formation energy without anion corrections: -2.79 eV/atom

a = 6.5486 Å, b = 6.5486 Å, c = 9.9013 Å
α = 114.90°, β = 114.90°, γ = 32.29°
Sites, in units of the cell vectors:
1 Tm 0.0266 0.0266 0.2589
2 Tm 0.3401 0.3401 0.9424
3 Tm 0.6599 0.6599 0.0576
4 Tm 0.9734 0.9734 0.7411
5 Sb 0.3620 0.3620 0.4193
6 Sb 0.6380 0.6380 0.5807
7 O 0.1549 0.1549 0.9185
8 O 0.2008 0.2008 0.2311
9 O 0.4796 0.4796 0.8554
10 O 0.5204 0.5204 0.1446
11 O 0.7992 0.7992 0.7689
12 O 0.8451 0.8451 0.0815